Computed, not measured: an optimized crystal structure of RbVS2Cl at the PBE-GGA level of DFT.

Computed properties:
Energy relative to the lowest polymorph listed for this composition   195.05 kJ/mol of atoms
Final energy   -2.982 eV per atom
Calculated volume   37.7 A^3/atom
Energy relative to the elements, uncorrected   1.056 eV per atom
M_tot   0.195 μB per atom

Cell lengths 5.7502, 5.7502, 5.6938 Å; angles 90.00, 90.00, 90.00 degrees
Fractional positions:
1 S 0.5000 0.0000 0.0000
2 S 0.0000 0.5000 0.0000
3 V 0.5000 0.5000 0.5000
4 Cl 0.0000 0.0000 0.5000
5 Rb 0.0000 0.0000 0.0000